SmHo4Ru2 PBE optimized geometry; symmetry = P2_1/m (11); total magnetization = 0.0 μB/cell; electronic total energy = -86.8 eV for the cell shown; ΔE_f = -0.26 eV/atom
1.0
6.365 0.000 0.000
0.000 7.357 -2.982
0.000 -0.079 7.724
Sm Ho Ru
2 8 4
Cartesian
1.591 6.072 5.063
4.773 1.206 -0.321
3.188 2.995 4.599
1.591 1.824 1.762
4.773 5.454 2.980
6.359 2.995 4.599
4.773 0.114 2.878
0.005 4.283 0.142
3.177 4.283 0.142
1.591 7.164 1.864
1.591 1.856 6.765
4.773 5.422 -2.023
4.773 2.716 2.089
1.591 4.562 2.653